Entry one
DFT (PBE-GGA) results for KTl6Se4 after structural relaxation.

Values from the calculation:
DOS(E_F) (states/eV per atom): 0.304
Space-group type: No. 187
Total magnetization (Bohr magnetons per cell): 0.00

```
data_KTl6Se4
_symmetry_space_group_name_H-M 'P 1'
_symmetry_Int_Tables_number 1
_cell_length_a 4.593
_cell_length_b 9.391
_cell_length_c 9.391
_cell_angle_alpha 120.00
_cell_angle_beta 90.00
_cell_angle_gamma 90.00
loop_
_symmetry_equiv_pos_as_xyz
'x,y,z'
loop_
_atom_site_label
_atom_site_type_symbol
_atom_site_fract_x
_atom_site_fract_y
_atom_site_fract_z
Tl1 Tl 0.000 0.913 0.457
Tl2 Tl 0.500 0.197 0.803
Tl3 Tl 0.000 0.543 0.457
Tl4 Tl 0.500 0.197 0.394
Tl5 Tl 0.500 0.606 0.803
Tl6 Tl 0.000 0.543 0.087
Se1 Se 0.500 0.835 0.165
Se2 Se 0.500 0.331 0.165
Se3 Se 0.000 0.333 0.667
Se4 Se 0.500 0.835 0.669
K1 K 0.000 0.000 0.000
```

***

Entry two
DFT (PBE-GGA) results for KTl6Se4 after structural relaxation.

Values from the calculation:
DOS(E_F) (states/eV per atom): 0.381
Space-group type: No. 5
Total magnetization (Bohr magnetons per cell): 0.00

```
data_KTl6Se4
_symmetry_space_group_name_H-M 'P 1'
_symmetry_Int_Tables_number 1
_cell_length_a 7.299
_cell_length_b 7.107
_cell_length_c 8.798
_cell_angle_alpha 66.20
_cell_angle_beta 65.51
_cell_angle_gamma 90.01
loop_
_symmetry_equiv_pos_as_xyz
'x,y,z'
loop_
_atom_site_label
_atom_site_type_symbol
_atom_site_fract_x
_atom_site_fract_y
_atom_site_fract_z
Se1 Se 0.845 0.882 0.744
Se2 Se 0.588 0.116 0.256
Se3 Se 0.155 0.628 0.257
Se4 Se 0.412 0.374 0.743
Tl1 Tl 0.460 0.858 0.661
Tl2 Tl 0.877 0.481 0.662
Tl3 Tl 0.122 0.142 0.339
Tl4 Tl 0.500 0.000 0.999
Tl5 Tl 0.001 0.500 0.001
Tl6 Tl 0.540 0.520 0.338
K1 K 0.000 0.000 0.000
```

***

Least stable: entry two

***

Entry one
DFT (PBE-GGA) results for K5Tl2Se4 after structural relaxation.

Values from the calculation:
DOS(E_F) (states/eV per atom): 0.498
Space-group type: No. 12
Total magnetization (Bohr magnetons per cell): 0.00

```
data_K5Tl2Se4
_symmetry_space_group_name_H-M 'P 1'
_symmetry_Int_Tables_number 1
_cell_length_a 4.816
_cell_length_b 8.593
_cell_length_c 10.511
_cell_angle_alpha 87.93
_cell_angle_beta 103.24
_cell_angle_gamma 90.00
loop_
_symmetry_equiv_pos_as_xyz
'x,y,z'
loop_
_atom_site_label
_atom_site_type_symbol
_atom_site_fract_x
_atom_site_fract_y
_atom_site_fract_z
Se1 Se 0.099 0.086 0.198
Se2 Se 0.648 0.644 0.297
Se3 Se 0.352 0.356 0.703
Se4 Se 0.901 0.914 0.802
K1 K 0.054 0.718 0.107
K2 K 0.500 0.000 0.000
K3 K 0.811 0.612 0.622
K4 K 0.189 0.388 0.378
K5 K 0.946 0.282 0.893
Tl1 Tl 0.683 0.965 0.365
Tl2 Tl 0.317 0.035 0.635
```

***

Entry two
DFT (PBE-GGA) results for K5Tl2Se4 after structural relaxation.

Values from the calculation:
DOS(E_F) (states/eV per atom): 0.122
Space-group type: No. 12
Total magnetization (Bohr magnetons per cell): 0.00

```
data_K5Tl2Se4
_symmetry_space_group_name_H-M 'P 1'
_symmetry_Int_Tables_number 1
_cell_length_a 5.093
_cell_length_b 9.504
_cell_length_c 9.641
_cell_angle_alpha 105.25
_cell_angle_beta 105.32
_cell_angle_gamma 90.00
loop_
_symmetry_equiv_pos_as_xyz
'x,y,z'
loop_
_atom_site_label
_atom_site_type_symbol
_atom_site_fract_x
_atom_site_fract_y
_atom_site_fract_z
Se1 Se 0.994 0.231 0.988
Se2 Se 0.708 0.723 0.415
Se3 Se 0.292 0.277 0.585
Se4 Se 0.006 0.769 0.012
Tl1 Tl 0.453 0.344 0.905
Tl2 Tl 0.547 0.656 0.095
K1 K 0.841 0.527 0.683
K2 K 0.179 0.919 0.359
K3 K 0.500 0.000 0.000
K4 K 0.159 0.473 0.317
K5 K 0.821 0.081 0.641
```

***

Least stable: entry one

***

Entry one
DFT (PBE-GGA) results for KUSe3 after structural relaxation.

Values from the calculation:
DOS(E_F) (states/eV per atom): 0.765
Space-group type: No. 221
Total magnetization (Bohr magnetons per cell): 1.00

```
data_KUSe3
_symmetry_space_group_name_H-M 'P 1'
_symmetry_Int_Tables_number 1
_cell_length_a 5.461
_cell_length_b 5.461
_cell_length_c 5.461
_cell_angle_alpha 90.00
_cell_angle_beta 90.00
_cell_angle_gamma 90.00
loop_
_symmetry_equiv_pos_as_xyz
'x,y,z'
loop_
_atom_site_label
_atom_site_type_symbol
_atom_site_fract_x
_atom_site_fract_y
_atom_site_fract_z
Se1 Se 0.000 0.000 0.500
Se2 Se 0.500 0.000 0.000
Se3 Se 0.000 0.500 0.000
U1 U 0.000 0.000 0.000
K1 K 0.500 0.500 0.500
```

***

Entry two
DFT (PBE-GGA) results for KUSe3 after structural relaxation.

Values from the calculation:
DOS(E_F) (states/eV per atom): 0.839
Space-group type: No. 12
Total magnetization (Bohr magnetons per cell): 2.00

```
data_KUSe3
_symmetry_space_group_name_H-M 'P 1'
_symmetry_Int_Tables_number 1
_cell_length_a 5.546
_cell_length_b 7.377
_cell_length_c 9.125
_cell_angle_alpha 103.18
_cell_angle_beta 90.00
_cell_angle_gamma 112.08
loop_
_symmetry_equiv_pos_as_xyz
'x,y,z'
loop_
_atom_site_label
_atom_site_type_symbol
_atom_site_fract_x
_atom_site_fract_y
_atom_site_fract_z
U1 U 0.130 0.260 0.915
U2 U 0.870 0.740 0.085
Se1 Se 0.077 0.154 0.187
Se2 Se 0.923 0.846 0.813
Se3 Se 0.340 0.681 0.057
Se4 Se 0.859 0.718 0.365
Se5 Se 0.660 0.319 0.943
Se6 Se 0.141 0.282 0.635
K1 K 0.379 0.757 0.603
K2 K 0.621 0.243 0.397
```

***

Least stable: entry two

***

Entry one
DFT (PBE-GGA) results for K2VSe4 after structural relaxation.

Values from the calculation:
DOS(E_F) (states/eV per atom): 1.218
Space-group type: No. 139
Total magnetization (Bohr magnetons per cell): 0.31

```
data_K2VSe4
_symmetry_space_group_name_H-M 'P 1'
_symmetry_Int_Tables_number 1
_cell_length_a 4.918
_cell_length_b 4.918
_cell_length_c 9.022
_cell_angle_alpha 74.18
_cell_angle_beta 74.18
_cell_angle_gamma 90.00
loop_
_symmetry_equiv_pos_as_xyz
'x,y,z'
loop_
_atom_site_label
_atom_site_type_symbol
_atom_site_fract_x
_atom_site_fract_y
_atom_site_fract_z
Se1 Se 0.500 0.000 0.000
Se2 Se 0.852 0.852 0.296
Se3 Se 0.148 0.148 0.704
Se4 Se 0.000 0.500 0.000
V1 V 0.000 0.000 0.000
K1 K 0.650 0.650 0.699
K2 K 0.350 0.350 0.301
```

***

Entry two
DFT (PBE-GGA) results for K2VSe4 after structural relaxation.

Values from the calculation:
DOS(E_F) (states/eV per atom): 0.373
Space-group type: No. 11
Total magnetization (Bohr magnetons per cell): 0.00

```
data_K2VSe4
_symmetry_space_group_name_H-M 'P 1'
_symmetry_Int_Tables_number 1
_cell_length_a 5.910
_cell_length_b 7.029
_cell_length_c 11.979
_cell_angle_alpha 98.12
_cell_angle_beta 90.00
_cell_angle_gamma 90.00
loop_
_symmetry_equiv_pos_as_xyz
'x,y,z'
loop_
_atom_site_label
_atom_site_type_symbol
_atom_site_fract_x
_atom_site_fract_y
_atom_site_fract_z
Se1 Se 0.750 0.072 0.340
Se2 Se 0.520 0.440 0.700
Se3 Se 0.750 0.242 0.052
Se4 Se 0.980 0.440 0.700
Se5 Se 0.250 0.758 0.948
Se6 Se 0.020 0.560 0.300
Se7 Se 0.250 0.928 0.660
Se8 Se 0.480 0.560 0.300
K1 K 0.250 0.233 0.915
K2 K 0.750 0.767 0.085
K3 K 0.250 0.233 0.457
K4 K 0.750 0.767 0.543
V1 V 0.250 0.674 0.759
V2 V 0.750 0.326 0.241
```

***

Least stable: entry one